The following is a GGA-PBE calculation of a relaxed Zn2BCl crystal, from Alexandria via LeMat-Bulk.

Results
ΔE to the lowest computed polymorph	0.773	eV per atom
volume	66.0	Å³/cell
total magnetization	0.00	μB/cell
ΔE_f (raw)	1.043	eV per atom
symmetry	No. 225
final energy	-1.725	eV per atom

abc: 4.5370 4.5370 4.5370
angles: 60.00 60.00 60.00
Last column: nearest neighbours and their distance in Å.
Fractional coordinates of all 4 atoms:
Zn 0.7500 0.7500 0.7500  4 Cl 2.78, 4 B 2.78
Zn 0.2500 0.2500 0.2500  4 Cl 2.78, 4 B 2.78
B 0.0000 0.0000 0.0000  8 Zn 2.78
Cl 0.5000 0.5000 0.5000  8 Zn 2.78



The following is a GGA-PBE calculation of a relaxed ZnBCl2 crystal, from Alexandria via LeMat-Bulk.

Results
ΔE to the lowest computed polymorph	0.341	eV per atom
volume	167.3	Å³/cell
total magnetization	1.97	μB/cell
ΔE_f (raw)	0.654	eV per atom
symmetry	No. 122
final energy	-2.258	eV per atom

abc: 7.0211 7.0211 6.0133
angles: 54.28 54.28 90.00
Last column: nearest neighbours and their distance in Å.
Fractional coordinates of all 8 atoms:
Cl 0.0719 0.6250 0.2500  2 Zn 2.39
Cl 0.3750 0.3219 0.7500  2 Zn 2.39
Cl 0.6781 0.1250 0.2500  2 Zn 2.39
Cl 0.8750 0.9281 0.7500  2 Zn 2.39
Zn 0.7500 0.2500 0.5000  4 Cl 2.39
Zn 0.0000 0.0000 0.0000  4 Cl 2.39
B 0.2500 0.7500 0.5000  4 Cl 2.89
B 0.5000 0.5000 0.0000  4 Cl 2.89



> The highest final energy belongs to which entry?

Zn2BCl



> Which value of volume does entry 1 give?

66.0 Å³/cell



> Which value of final energy does entry 1 give?

-1.725 eV per atom



> Among the records above, which one has the highest ΔE to the lowest computed polymorph?

Zn2BCl